Record 1
Compound: Tm2Fe17
Source: the Alexandria database
Functional: PBE
Structure: optimized geometry

Lattice parameters (Å, degrees): 8.3953 8.3953 8.2362 90.00 90.00 120.00
Positions (direct):
Tm: 0.0000 0.0000 0.2500
Tm: 0.0000 0.0000 0.7500
Tm: 0.3333 0.6667 0.2500
Tm: 0.6667 0.3333 0.7500
Fe: 0.0000 0.5000 0.0000
Fe: 0.0000 0.5000 0.5000
Fe: 0.0358 0.3650 0.7500
Fe: 0.0358 0.6708 0.7500
Fe: 0.1656 0.3311 0.0145
Fe: 0.1656 0.3311 0.4855
Fe: 0.1656 0.8344 0.0145
Fe: 0.1656 0.8344 0.4855
Fe: 0.3292 0.3650 0.7500
Fe: 0.3292 0.9642 0.7500
Fe: 0.3311 0.1656 0.5145
Fe: 0.3311 0.1656 0.9855
Fe: 0.3333 0.6667 0.6068
Fe: 0.3333 0.6667 0.8932
Fe: 0.3650 0.0358 0.2500
Fe: 0.3650 0.3292 0.2500
Fe: 0.5000 0.0000 0.0000
Fe: 0.5000 0.0000 0.5000
Fe: 0.5000 0.5000 0.0000
Fe: 0.5000 0.5000 0.5000
Fe: 0.6350 0.6708 0.7500
Fe: 0.6350 0.9642 0.7500
Fe: 0.6667 0.3333 0.1068
Fe: 0.6667 0.3333 0.3932
Fe: 0.6689 0.8344 0.0145
Fe: 0.6689 0.8344 0.4855
Fe: 0.6708 0.0358 0.2500
Fe: 0.6708 0.6350 0.2500
Fe: 0.8344 0.1656 0.5145
Fe: 0.8344 0.1656 0.9855
Fe: 0.8344 0.6689 0.5145
Fe: 0.8344 0.6689 0.9855
Fe: 0.9642 0.3292 0.2500
Fe: 0.9642 0.6350 0.2500

The formation energy is -0.03 eV/atom. The density of states at the Fermi level is 41.2 states/eV per cell.



Record 2
Compound: Er6RhPb2
Source: the Alexandria database
Functional: PBE
Structure: optimized geometry

Lattice parameters (Å, degrees): 8.6432 8.6432 8.6432 145.27 131.47 61.05
Positions (direct):
Er: 0.0931 0.3523 0.7408
Er: 0.2269 0.0000 0.2269
Er: 0.3885 0.6477 0.7408
Er: 0.6115 0.3523 0.2592
Er: 0.7731 0.0000 0.7731
Er: 0.9069 0.6477 0.2592
Rh: 0.0000 0.5000 0.5000
Pb: 0.3253 0.8253 0.5000
Pb: 0.6747 0.1747 0.5000

The formation energy is -0.33 eV/atom. The density of states at the Fermi level is 6.1 states/eV per cell.



Record 3
Compound: KPrCrN3
Source: the Alexandria database
Functional: PBE
Structure: optimized geometry

Lattice parameters (Å, degrees): 7.0748 7.0748 8.0268 104.53 104.53 30.75
Positions (direct):
K: 0.1328 0.1328 0.0678
K: 0.8672 0.8672 0.9322
Pr: 0.1615 0.1615 0.5989
Pr: 0.8385 0.8385 0.4011
Cr: 0.4904 0.4904 0.6684
Cr: 0.5096 0.5096 0.3316
N: 0.0138 0.0138 0.3498
N: 0.3503 0.3503 0.6461
N: 0.3809 0.3809 0.2083
N: 0.6191 0.6191 0.7917
N: 0.6497 0.6497 0.3539
N: 0.9862 0.9862 0.6502

As for the uncorrected formation energy: -422 meV/atom. The density of states at the Fermi level is 1.8 states/eV per cell.



Record 4
Compound: K2ReP
Source: the Alexandria database
Functional: PBE
Structure: optimized geometry

Lattice parameters (Å, degrees): 3.2527 3.2596 10.2280 90.00 92.47 90.00
Positions (direct):
K: 0.0000 0.0000 0.0000
K: 0.4213 0.5000 0.4250
Re: 0.9554 0.0000 0.6796
P: 0.4660 0.5000 0.7579

The offset from the most stable computed form comes out at 0.121 eV per atom. The formation energy is 0.30 eV/atom. The density of states at the Fermi level is 3.2 states/eV per cell.



Record 5
Compound: YSi2H
Source: the Alexandria database
Functional: PBE
Structure: optimized geometry

Lattice parameters (Å, degrees): 6.3218 6.3218 6.3218 133.16 133.16 68.40
Positions (direct):
Y: 0.3750 0.6250 0.7500
Y: 0.6250 0.3750 0.2500
Si: 0.0000 0.0000 0.0000
Si: 0.0000 0.0000 0.5000
Si: 0.0000 0.5000 0.0000
Si: 0.5000 0.0000 0.5000
H: 0.1250 0.8750 0.2500
H: 0.8750 0.1250 0.7500

The offset from the most stable computed form comes out at 0.000 eV per atom. The density of states at the Fermi level is 3.7 states/eV per cell.



Record 6
Compound: BaBi2S
Source: the Alexandria database
Functional: PBE
Structure: optimized geometry

Lattice parameters (Å, degrees): 5.6600 5.6600 5.6600 60.00 60.00 60.00
Positions (direct):
Ba: 0.0000 0.0000 0.0000
Bi: 0.2500 0.2500 0.2500
Bi: 0.7500 0.7500 0.7500
S: 0.5000 0.5000 0.5000

The offset from the most stable computed form comes out at 0.433 eV per atom. As for the uncorrected formation energy: 23 meV/atom. The density of states at the Fermi level is 3.8 states/eV per cell.



Record 7
Compound: NdNbBrO4
Source: the Alexandria database
Functional: PBE
Structure: optimized geometry

Lattice parameters (Å, degrees): 7.1493 7.1493 7.1755 102.40 102.40 55.55
Positions (direct):
Nd: 0.2091 0.2091 0.3399
Nd: 0.7909 0.7909 0.6601
Nb: 0.1273 0.1273 0.7539
Nb: 0.8727 0.8727 0.2461
Br: 0.4879 0.4879 0.8357
Br: 0.5121 0.5121 0.1643
O: 0.0230 0.0230 0.2860
O: 0.0341 0.6068 0.3769
O: 0.1924 0.1924 0.0139
O: 0.3932 0.9659 0.6231
O: 0.6068 0.0341 0.3769
O: 0.8076 0.8076 0.9861
O: 0.9659 0.3932 0.6231
O: 0.9770 0.9770 0.7140

As for the uncorrected formation energy: -2477 meV/atom.



Record 8
Compound: NaCa2CrGe
Source: the Alexandria database
Functional: PBE
Structure: optimized geometry

Lattice parameters (Å, degrees): 5.6832 5.6832 4.7785 90.00 90.00 90.00
Positions (direct):
Na: 0.0000 0.0000 0.0000
Ca: 0.0000 0.5000 0.5000
Ca: 0.5000 0.0000 0.5000
Cr: 0.5000 0.5000 0.5000
Ge: 0.5000 0.5000 0.0000

The offset from the most stable computed form comes out at 0.000 eV per atom. The formation energy is 0.26 eV/atom. The density of states at the Fermi level is 3.3 states/eV per cell.



Record 9
Compound: NdErMgTc
Source: the Alexandria database
Functional: PBE
Structure: optimized geometry

Lattice parameters (Å, degrees): 5.0913 5.0913 5.0913 60.00 60.00 60.00
Positions (direct):
Nd: 0.0000 0.0000 0.0000
Er: 0.5000 0.5000 0.5000
Mg: 0.2500 0.2500 0.2500
Tc: 0.7500 0.7500 0.7500

The formation energy is 0.04 eV/atom. The density of states at the Fermi level is 2.3 states/eV per cell.



Record 10
Compound: InNiSn3
Source: the Alexandria database
Functional: PBE
Structure: optimized geometry

Lattice parameters (Å, degrees): 6.8216 6.8216 6.6012 118.64 118.64 76.69
Positions (direct):
In: 0.0494 0.0494 0.2672
In: 0.9506 0.9506 0.7328
Ni: 0.2555 0.2555 0.1251
Ni: 0.7445 0.7445 0.8749
Sn: 0.0377 0.4373 0.7667
Sn: 0.4373 0.0377 0.7667
Sn: 0.4444 0.4444 0.6703
Sn: 0.5556 0.5556 0.3297
Sn: 0.5627 0.9623 0.2333
Sn: 0.9623 0.5627 0.2333

The offset from the most stable computed form comes out at 0.000 eV per atom. The formation energy is -0.05 eV/atom. The density of states at the Fermi level is 4.0 states/eV per cell.



Record 11
Compound: AlOsRu2
Source: the Alexandria database
Functional: PBE
Structure: optimized geometry

Lattice parameters (Å, degrees): 2.7786 3.8542 5.2844 90.00 90.00 90.00
Positions (direct):
Al: 0.0000 0.0000 0.0000
Os: 0.5000 0.5000 0.2732
Ru: 0.0000 0.0000 0.4950
Ru: 0.5000 0.5000 0.7812

The formation energy is -0.08 eV/atom. The density of states at the Fermi level is 3.9 states/eV per cell.



Record 12
Compound: CsNbRh
Source: the Alexandria database
Functional: PBE
Structure: optimized geometry

Lattice parameters (Å, degrees): 4.0025 5.1865 12.0188 79.37 82.95 68.41
Positions (direct):
Cs: 0.0000 0.0000 0.0000
Cs: 0.4228 0.6270 0.6162
Nb: 0.4209 0.9958 0.3036
Nb: 0.5935 0.4740 0.2342
Rh: 0.0444 0.5973 0.3556
Rh: 0.8289 0.1360 0.4118

The offset from the most stable computed form comes out at 0.184 eV per atom. The formation energy is 0.43 eV/atom. The density of states at the Fermi level is 6.5 states/eV per cell.



| no. | total energy (eV per cell) |
| --- | --- |
| 1 | -306.60 |
| 2 | -45.13 |
| 3 | -86.02 |
| 4 | -18.86 |
| 5 | -40.82 |
| 6 | -13.72 |
| 7 | -107.37 |
| 8 | -18.25 |
| 9 | -21.13 |
| 10 | -41.54 |
| 11 | -33.83 |
| 12 | -33.96 |